Entry 1:
VASP calculation (PBE) on MnNiI2 after structural relaxation.

abc: 6.687 6.687 6.687
angles: 90.00 90.00 90.00
Fractional positions:
Mn 0.000 0.000 0.000
Mn 0.000 0.500 0.500
Mn 0.500 0.000 0.500
Mn 0.500 0.500 0.000
Ni 0.000 0.000 0.500
Ni 0.000 0.500 0.000
Ni 0.500 0.000 0.000
Ni 0.500 0.500 0.500
I 0.250 0.250 0.250
I 0.250 0.250 0.750
I 0.250 0.750 0.250
I 0.250 0.750 0.750
I 0.750 0.250 0.250
I 0.750 0.250 0.750
I 0.750 0.750 0.250
I 0.750 0.750 0.750

Space group: Fm-3m (225)
Formation energy (no corrections): 397 kJ/mol of formula units
Energy above the most stable polymorph in this dataset: 84.3 kJ/mol of atoms


Entry 2:
VASP calculation (PBE) on AgP3 after structural relaxation.

abc: 3.057 3.057 6.752
angles: 90.00 90.00 90.00
Fractional positions:
Ag 0.000 0.000 0.000
P 0.000 0.000 0.500
P 0.500 0.500 0.293
P 0.500 0.500 0.707

Space group: P4/mmm (123)
ΔH_f (0 K): 0.609 eV/atom
Energy above the most stable polymorph in this dataset: 41.1 kJ/mol of atoms


Entry 3:
VASP calculation (PBE) on Pm5Te2Ir2 after structural relaxation.

abc: 8.920 8.920 7.972
angles: 90.00 90.00 53.46
Fractional positions:
Pm 0.000 0.000 0.000
Pm 0.044 0.722 0.659
Pm 0.222 0.544 0.159
Pm 0.278 0.956 0.659
Pm 0.456 0.778 0.159
Pm 0.500 0.500 0.500
Pm 0.544 0.222 0.841
Pm 0.722 0.044 0.341
Pm 0.778 0.456 0.841
Pm 0.956 0.278 0.341
Te 0.208 0.208 0.000
Te 0.292 0.292 0.500
Te 0.708 0.708 0.500
Te 0.792 0.792 0.000
Ir 0.139 0.861 0.362
Ir 0.361 0.639 0.862
Ir 0.639 0.361 0.138
Ir 0.861 0.139 0.638

Space group: Cmce (64)
Formation energy (no corrections): -870 kJ/mol of formula units


Entry 4:
VASP calculation (PBE) on InCo2Mo after structural relaxation.

abc: 8.465 2.812 5.080
angles: 90.00 99.09 90.00
Fractional positions:
In 0.000 0.000 0.000
In 0.500 0.500 0.000
Co 0.246 0.000 0.701
Co 0.254 0.500 0.299
Co 0.746 0.500 0.701
Co 0.754 0.000 0.299
Mo 0.000 0.500 0.500
Mo 0.500 0.000 0.500

Space group: C2/m (12)
ΔH_f (0 K): 0.290 eV/atom


Entry 5:
VASP calculation (PBE) on Cd3Au2 after structural relaxation.

abc: 3.045 3.045 37.550
angles: 90.00 90.00 120.00
Fractional positions:
Cd 0.000 0.000 0.000
Cd 0.000 0.000 0.205
Cd 0.000 0.000 0.795
Cd 0.333 0.667 0.462
Cd 0.333 0.667 0.667
Cd 0.333 0.667 0.871
Cd 0.667 0.333 0.129
Cd 0.667 0.333 0.333
Cd 0.667 0.333 0.538
Au 0.000 0.000 0.397
Au 0.000 0.000 0.603
Au 0.333 0.667 0.064
Au 0.333 0.667 0.269
Au 0.667 0.333 0.731
Au 0.667 0.333 0.936

Space group: R-3m (166)
ΔH_f (0 K): -0.077 eV/atom
Energy above the most stable polymorph in this dataset: 10.2 kJ/mol of atoms


Entry 6:
VASP calculation (PBE) on La4TbSm3 after structural relaxation.

abc: 11.983 13.658 3.464
angles: 90.00 90.00 90.00
Fractional positions:
La 0.000 0.248 0.000
La 0.000 0.752 0.000
La 0.249 0.000 0.500
La 0.251 0.500 0.500
La 0.500 0.252 0.000
La 0.500 0.748 0.000
La 0.749 0.500 0.500
La 0.751 0.000 0.500
Tb 0.000 0.000 0.000
Tb 0.500 0.500 0.000
Sm 0.000 0.500 0.000
Sm 0.250 0.250 0.500
Sm 0.250 0.750 0.500
Sm 0.500 0.000 0.000
Sm 0.750 0.250 0.500
Sm 0.750 0.750 0.500

Space group: Cmmm (65)
ΔH_f (0 K): 0.347 eV/atom
Energy above the most stable polymorph in this dataset: 13.5 kJ/mol of atoms


Number 1: total DFT energy (no corrections) -3.4836 eV/atom. Number 2: total DFT energy (no corrections) -4.1608 eV/atom. Number 3: total DFT energy (no corrections) -6.3084 eV/atom. Number 4: total DFT energy (no corrections) -6.6549 eV/atom. Number 5: total DFT energy (no corrections) -1.9367 eV/atom. Number 6: total DFT energy (no corrections) -4.4650 eV/atom.